BeAu5 SCAN single point on PBEsol structure; N(E_F) = 1.80 states/eV per cell; DFT formation energy = -0.0961 eV/atom; space group = Cm (8); excess energy over the best structure of this formula in the dataset = 32 meV/atom
1.0
-0.423 -2.604 1.286
3.322 2.585 2.977
-6.626 1.768 1.401
Be Au
1 5
Direct
0.695 0.389 0.890
0.016 0.033 0.584
0.695 0.389 0.389
0.373 0.745 0.193
0.325 0.651 0.753
0.063 0.126 0.024

=====

BeAu SCAN single point on PBEsol structure; N(E_F) = 1.73 states/eV per cell; DFT formation energy = -0.2742 eV/atom; space group = Pnma (62)
1.0
3.946 0.000 0.000
0.000 4.781 0.000
0.000 0.000 5.370
Be Au
4 4
Direct
0.750 0.360 0.055
0.750 0.140 0.555
0.250 0.640 0.945
0.250 0.860 0.445
0.250 0.378 0.321
0.750 0.878 0.179
0.250 0.122 0.821
0.750 0.622 0.679

=====

Be5Au4 SCAN single point on PBEsol structure; N(E_F) = 2.14 states/eV per cell; DFT formation energy = -0.2610 eV/atom; space group = I4/mmm (139)
1.0
-0.599 -2.726 -2.229
2.642 -4.718 2.197
-4.921 -2.643 1.693
Be Au
5 4
Direct
0.336 0.000 0.327
0.000 0.000 0.000
0.336 0.327 0.000
0.664 0.673 0.000
0.664 0.000 0.673
0.298 0.702 0.702
0.702 0.298 0.298
0.000 0.298 0.702
0.000 0.702 0.298

=====

BeAu4 SCAN single point on PBEsol structure; N(E_F) = 1.10 states/eV per cell; DFT formation energy = -0.1500 eV/atom; space group = I4/m (87); excess energy over the best structure of this formula in the dataset = 0 meV/atom
1.0
-1.906 1.427 -1.516
-4.757 -1.195 2.231
-0.467 4.775 2.453
Be Au
1 4
Direct
0.000 0.000 0.000
0.427 0.806 0.340
0.233 0.340 0.194
0.573 0.194 0.660
0.767 0.660 0.806

=====

BeAu SCAN single point on PBEsol structure; N(E_F) = 2.46 states/eV per cell; DFT formation energy = -0.3420 eV/atom; space group = P2_13 (198)
1.0
-0.658 -3.938 -2.399
2.109 -2.412 3.381
-4.101 -0.609 2.124
Be Au
4 4
Direct
0.154 0.346 0.654
0.846 0.846 0.846
0.654 0.154 0.346
0.346 0.654 0.154
0.346 0.846 0.654
0.654 0.346 0.846
0.846 0.654 0.346
0.154 0.154 0.154

=====

BeAu SCAN single point on PBEsol structure; N(E_F) = 0.82 states/eV per cell; DFT formation energy = -0.2704 eV/atom; space group = C2/m (12)
1.0
2.887 0.000 0.000
0.000 4.185 -0.022
-1.444 -1.118 4.196
Au Be
2 2
Direct
0.888 0.690 0.776
0.112 0.310 0.224
0.368 0.166 0.736
0.632 0.834 0.264